First-principles (PBE) data for a geometry-optimized CsLiPW2 structure, as listed in Alexandria.

DFT formation energy, meV/atom: 1220.7
Energy, eV per atom: -5.596

Geometry as CIF:
```
data_CsLiPW2
_chemical_formula_sum 'Cs1 Li1 P1 W2'
_cell_length_a 4.560
_cell_length_b 4.560
_cell_length_c 6.366
_cell_angle_alpha 90.00
_cell_angle_beta 90.00
_cell_angle_gamma 90.00
_space_group_name_H-M_alt 'P 4/m m m'
_space_group_IT_number 123
_space_group_name_Hall '-P 4 2'
loop_
_atom_site_label
_atom_site_type_symbol
_atom_site_fract_x
_atom_site_fract_y
_atom_site_fract_z
_atom_site_occupancy
Cs1 Cs 0.000 0.000 0.000 1
Li1 Li 0.500 0.500 0.000 1
P1 P 0.000 0.000 0.500 1
W1 W 0.000 0.500 0.500 1
```